*a*
# Sm2ZnNi

A geometry-optimized Sm2ZnNi structure (GGA-PBE, the Alexandria database).

```
Sm2ZnNi
1.0
5.905 0.000 0.000
0.000 4.478 0.000
-2.870 0.000 6.963
Sm Zn Ni
4 2 2
direct
0.178 0.250 0.418 Sm
0.280 0.750 0.072 Sm
0.720 0.250 0.928 Sm
0.822 0.750 0.582 Sm
0.372 0.750 0.711 Zn
0.628 0.250 0.289 Zn
0.171 0.250 0.786 Ni
0.829 0.750 0.214 Ni
```

Summary:
DOS(E_F)	6.16	states/eV/cell
magnetization	0.0	μB/cell
space group	P2_1/m

*b*
# Sm2ZnNi

A geometry-optimized Sm2ZnNi structure (GGA-PBE, the Alexandria database).

```
Sm2ZnNi
1.0
3.544 0.000 0.000
0.000 3.544 0.000
0.000 0.000 7.122
Sm Zn Ni
2 1 1
direct
0.000 0.000 0.234 Sm
0.000 0.000 0.766 Sm
0.500 0.500 0.500 Zn
0.500 0.500 0.000 Ni
```

Summary:
DOS(E_F)	3.51	states/eV/cell
magnetization	0.0	μB/cell
space group	P4/mmm

Which of them is least stable? Easy: *b*.

*a*
# SmZn3Ni

A geometry-optimized SmZn3Ni structure (GGA-PBE, the Alexandria database).

```
SmZn3Ni
1.0
2.971 -5.735 0.000
2.971 5.735 0.000
0.000 0.000 5.149
Sm Zn Ni
2 6 2
direct
0.118 0.882 0.750 Sm
0.882 0.118 0.250 Sm
0.132 0.398 0.750 Zn
0.313 0.687 0.250 Zn
0.398 0.132 0.250 Zn
0.602 0.868 0.750 Zn
0.687 0.313 0.750 Zn
0.868 0.602 0.250 Zn
0.500 0.500 0.000 Ni
0.500 0.500 0.500 Ni
```

Summary:
DOS(E_F)	7.18	states/eV/cell
magnetization	0.0	μB/cell
space group	Cmcm

*b*
# SmZn3Ni

A geometry-optimized SmZn3Ni structure (GGA-PBE, the Alexandria database).

```
SmZn3Ni
1.0
4.568 0.000 0.000
0.000 4.568 0.000
0.000 0.000 4.568
Sm Zn Ni
1 3 1
direct
0.000 0.000 0.000 Sm
0.000 0.500 0.500 Zn
0.500 0.000 0.500 Zn
0.500 0.500 0.000 Zn
0.500 0.500 0.500 Ni
```

Summary:
DOS(E_F)	3.60	states/eV/cell
magnetization	0.0	μB/cell
space group	Pm-3m

Which of them is least stable? Easy: *b*.

*a*
# Sr2NiSn2

A geometry-optimized Sr2NiSn2 structure (GGA-PBE, the Alexandria database).

```
Sr2NiSn2
1.0
5.954 -2.337 0.000
5.954 2.337 0.000
-5.452 0.000 10.232
Sr Ni Sn
4 2 4
direct
0.004 0.004 0.165 Sr
0.189 0.189 0.610 Sr
0.811 0.811 0.390 Sr
0.996 0.996 0.835 Sr
0.285 0.285 0.152 Ni
0.715 0.715 0.848 Ni
0.322 0.322 0.939 Sn
0.493 0.493 0.628 Sn
0.507 0.507 0.372 Sn
0.678 0.678 0.061 Sn
```

Summary:
DOS(E_F)	7.12	states/eV/cell
magnetization	0.0	μB/cell
space group	C2/m

*b*
# Sr2NiSn2

A geometry-optimized Sr2NiSn2 structure (GGA-PBE, the Alexandria database).

```
Sr2NiSn2
1.0
7.295 0.000 0.000
0.000 7.295 0.000
0.000 0.000 5.266
Sr Ni Sn
4 2 4
direct
0.166 0.334 0.000 Sr
0.334 0.834 0.000 Sr
0.666 0.166 0.000 Sr
0.834 0.666 0.000 Sr
0.000 0.000 0.500 Ni
0.500 0.500 0.500 Ni
0.148 0.648 0.500 Sn
0.352 0.148 0.500 Sn
0.648 0.852 0.500 Sn
0.852 0.352 0.500 Sn
```

Summary:
DOS(E_F)	3.10	states/eV/cell
magnetization	0.0	μB/cell
space group	P4/mbm

Which of them is least stable? Easy: *b*.

*a*
# SrNi3Sn

A geometry-optimized SrNi3Sn structure (GGA-PBE, the Alexandria database).

```
SrNi3Sn
1.0
4.792 0.000 0.000
0.000 4.792 0.000
0.000 0.000 4.792
Sr Ni Sn
1 3 1
direct
0.000 0.000 0.000 Sr
0.000 0.000 0.500 Ni
0.000 0.500 0.000 Ni
0.500 0.000 0.000 Ni
0.500 0.500 0.500 Sn
```

Summary:
DOS(E_F)	3.88	states/eV/cell
magnetization	0.0	μB/cell
space group	Pm-3m

*b*
# SrNi3Sn

A geometry-optimized SrNi3Sn structure (GGA-PBE, the Alexandria database).

```
SrNi3Sn
1.0
4.792 0.000 0.000
0.000 4.792 0.000
0.000 0.000 4.792
Sr Ni Sn
1 3 1
direct
0.000 0.000 0.000 Sr
0.000 0.500 0.500 Ni
0.500 0.000 0.500 Ni
0.500 0.500 0.000 Ni
0.500 0.500 0.500 Sn
```

Summary:
DOS(E_F)	4.77	states/eV/cell
magnetization	0.0	μB/cell
space group	Pm-3m

Which of them is least stable? Easy: *a*.

*a*
# Sr3Ni2Sn4

A geometry-optimized Sr3Ni2Sn4 structure (GGA-PBE, the Alexandria database).

```
Sr3Ni2Sn4
1.0
6.221 -2.247 0.000
6.221 2.247 0.000
-1.418 0.000 9.230
Sr Ni Sn
3 2 4
direct
0.000 0.000 0.000 Sr
0.338 0.338 0.346 Sr
0.662 0.662 0.654 Sr
0.392 0.392 0.717 Ni
0.608 0.608 0.283 Ni
0.060 0.060 0.374 Sn
0.281 0.281 0.918 Sn
0.719 0.719 0.082 Sn
0.940 0.940 0.626 Sn
```

Summary:
DOS(E_F)	7.43	states/eV/cell
magnetization	0.0	μB/cell
space group	C2/m

*b*
# Sr3Ni2Sn4

A geometry-optimized Sr3Ni2Sn4 structure (GGA-PBE, the Alexandria database).

```
Sr3Ni2Sn4
1.0
5.857 -2.364 0.000
5.857 2.364 0.000
-2.260 0.000 8.749
Sr Ni Sn
3 2 4
direct
0.000 0.000 0.000 Sr
0.390 0.390 0.309 Sr
0.610 0.610 0.691 Sr
0.314 0.314 0.643 Ni
0.686 0.686 0.357 Ni
0.121 0.121 0.414 Sn
0.284 0.284 0.913 Sn
0.716 0.716 0.087 Sn
0.879 0.879 0.586 Sn
```

Summary:
DOS(E_F)	5.87	states/eV/cell
magnetization	0.0	μB/cell
space group	C2/m

Which of them is least stable? Easy: *a*.

*a*
# Sr2Ni3Sn5

A geometry-optimized Sr2Ni3Sn5 structure (GGA-PBE, the Alexandria database).

```
Sr2Ni3Sn5
1.0
-5.440 6.450 3.241
5.440 -6.450 3.241
5.440 6.450 -3.241
Sr Ni Sn
4 6 10
direct
0.141 0.241 0.382 Sr
0.359 0.741 0.100 Sr
0.641 0.259 0.900 Sr
0.859 0.759 0.618 Sr
0.130 0.888 0.018 Ni
0.250 0.750 0.500 Ni
0.370 0.388 0.758 Ni
0.630 0.612 0.242 Ni
0.750 0.250 0.500 Ni
0.870 0.112 0.982 Ni
0.008 0.750 0.258 Sn
0.092 0.657 0.749 Sn
0.250 0.250 0.000 Sn
0.408 0.157 0.565 Sn
0.492 0.750 0.742 Sn
0.508 0.250 0.258 Sn
0.592 0.843 0.435 Sn
0.750 0.750 0.000 Sn
0.908 0.343 0.251 Sn
0.992 0.250 0.742 Sn
```

Summary:
DOS(E_F)	8.53	states/eV/cell
magnetization	0.0	μB/cell
space group	Ibam

*b*
# Sr2Ni3Sn5

A geometry-optimized Sr2Ni3Sn5 structure (GGA-PBE, the Alexandria database).

```
Sr2Ni3Sn5
1.0
2.239 -13.472 0.000
2.239 13.472 0.000
0.000 0.000 7.358
Sr Ni Sn
4 6 10
direct
0.025 0.975 0.500 Sr
0.326 0.674 0.512 Sr
0.674 0.326 0.012 Sr
0.975 0.025 0.000 Sr
0.109 0.891 0.237 Ni
0.278 0.722 0.020 Ni
0.447 0.553 0.291 Ni
0.553 0.447 0.791 Ni
0.722 0.278 0.520 Ni
0.891 0.109 0.737 Ni
0.094 0.906 0.879 Sn
0.204 0.796 0.318 Sn
0.212 0.788 0.726 Sn
0.377 0.623 0.001 Sn
0.448 0.552 0.665 Sn
0.552 0.448 0.165 Sn
0.623 0.377 0.501 Sn
0.788 0.212 0.226 Sn
0.796 0.204 0.818 Sn
0.906 0.094 0.379 Sn
```

Summary:
DOS(E_F)	9.15	states/eV/cell
magnetization	0.0	μB/cell
space group	Cmc2_1

Which of them is least stable? Easy: *b*.